A plane-wave DFT calculation with GGA-PBE was carried out for a relaxed Hf2ScCu crystal.

Output
Space-group type: F-43m, No. 216
Formation enthalpy at 0 K in eV/atom: 0.226
Total magnetic moment in μB per atom: 0.47
DFT total energy in hartree per atom: -0.2669

Cell: 4.7931 4.7931 4.7931 Å, 60.00 60.00 60.00°
Fractional positions:
Cu: 0.5000 0.5000 0.5000
Hf: 0.0000 0.0000 0.0000
Hf: 0.7500 0.7500 0.7500
Sc: 0.2500 0.2500 0.2500

=====

A plane-wave DFT calculation with GGA-PBE was carried out for a relaxed HfSc2Cu crystal.

Output
Space-group type: F-43m, No. 216
Formation enthalpy at 0 K in eV/atom: 0.194
Total magnetic moment in μB per atom: 0.22
DFT total energy in hartree per atom: -0.2348

Cell: 4.8203 4.8203 4.8203 Å, 60.00 60.00 60.00°
Each line ends with the local moment (μB).
Fractional positions:
Cu: 0.7500 0.7500 0.7500  0.01
Hf: 0.5000 0.5000 0.5000  0.20
Sc: 0.0000 0.0000 0.0000  0.17
Sc: 0.2500 0.2500 0.2500  0.26

=====

A plane-wave DFT calculation with GGA-PBE was carried out for a relaxed HfScCu crystal.

Output
Space-group type: I4mm, No. 107
Formation enthalpy at 0 K in eV/atom: -0.107
Total magnetic moment in μB per atom: 0.04
DFT total energy in hartree per atom: -0.2489

Cell: 6.0795 6.0795 6.0795 Å, 149.66 149.66 43.44°
Fractional positions:
Cu: 0.9964 0.9964 0.0000
Hf: 0.3485 0.3485 0.0000
Sc: 0.6551 0.6551 0.0000

=====

A plane-wave DFT calculation with GGA-PBE was carried out for a relaxed HfScCu crystal.

Output
Space-group type: F-43m, No. 216
Formation enthalpy at 0 K in eV/atom: 0.237
Total magnetic moment in μB per atom: 0.06
DFT total energy in hartree per atom: -0.2363

Cell: 4.4574 4.4574 4.4574 Å, 60.00 60.00 60.00°
Each line ends with the local moment (μB).
Fractional positions:
Cu: 0.0000 0.0000 0.0000  0.01
Hf: 0.2500 0.2500 0.2500  0.07
Sc: 0.7500 0.7500 0.7500  0.06